(1)
DFT (PBE) results for a geometry-optimized K3AuCl structure.

Calculated values
Fermi-level density of states	0.7659	states/eV per atom
total magnetic moment	0.00	Bohr magnetons per cell

Unit cell a=5.9540 b=5.9540 c=5.9540 alpha=90.00 beta=90.00 gamma=90.00
Space group Pm-3m (No. 221)
Symmetry-distinct sites (fractional):
K 0.0000 0.0000 0.5000 x3
Au 0.5000 0.5000 0.5000 x1
Cl 0.0000 0.0000 0.0000 x1

(2)
DFT (PBE) results for a geometry-optimized K3AuCl structure.

Calculated values
Fermi-level density of states	0.3112	states/eV per atom
total magnetic moment	0.00	Bohr magnetons per cell

Unit cell a=9.2138 b=4.4099 c=19.3342 alpha=90.00 beta=90.00 gamma=90.00
Space group Pnma (No. 62)
Symmetry-distinct sites (fractional):
K 0.0725 0.2500 0.2189 x4
K 0.0970 0.2500 0.6172 x4
K 0.1713 0.7500 0.9414 x4
Au 0.2149 0.2500 0.8015 x4
Cl 0.1750 0.2500 0.0628 x4

Which of them is the least stable? Correct choice: (1).

(1)
DFT (PBE) results for a geometry-optimized KP2AuCl structure.

Calculated values
Fermi-level density of states	1.0077	states/eV per atom
total magnetic moment	1.10	Bohr magnetons per cell

Unit cell a=4.6800 b=4.6800 c=7.2728 alpha=90.00 beta=90.00 gamma=90.00
Space group P4/mmm (No. 123)
Symmetry-distinct sites (fractional):
K 0.0000 0.0000 0.0000 x1
P 0.0000 0.5000 0.5000 x2
Au 0.5000 0.5000 0.5000 x1
Cl 0.5000 0.5000 0.0000 x1

(2)
DFT (PBE) results for a geometry-optimized KP2AuCl structure.

Calculated values
Fermi-level density of states	0.0919	states/eV per atom
total magnetic moment	5.04	Bohr magnetons per cell

Unit cell a=6.5109 b=6.5109 c=5.5371 alpha=90.00 beta=90.00 gamma=90.00
Space group P4/mmm (No. 123)
Symmetry-distinct sites (fractional):
K 0.0000 0.0000 0.0000 x1
P 0.0000 0.5000 0.0000 x2
Au 0.5000 0.5000 0.5000 x1
Cl 0.0000 0.0000 0.5000 x1

Which of them is the least stable? Correct choice: (2).

(1)
DFT (PBE) results for a geometry-optimized KSr2AuCl structure.

Calculated values
Fermi-level density of states	0.8583	states/eV per atom
total magnetic moment	0.00	Bohr magnetons per cell

Unit cell a=5.7038 b=5.7038 c=6.6443 alpha=90.00 beta=90.00 gamma=90.00
Space group P4/mmm (No. 123)
Symmetry-distinct sites (fractional):
K 0.0000 0.0000 0.0000 x1
Sr 0.0000 0.5000 0.5000 x2
Au 0.5000 0.5000 0.0000 x1
Cl 0.5000 0.5000 0.5000 x1

(2)
DFT (PBE) results for a geometry-optimized KSr2AuCl structure.

Calculated values
Fermi-level density of states	0.4921	states/eV per atom
total magnetic moment	0.00	Bohr magnetons per cell

Unit cell a=6.8682 b=6.8682 c=5.3154 alpha=90.00 beta=90.00 gamma=90.00
Space group P4/mmm (No. 123)
Symmetry-distinct sites (fractional):
K 0.0000 0.0000 0.0000 x1
Sr 0.0000 0.5000 0.0000 x2
Au 0.5000 0.5000 0.5000 x1
Cl 0.0000 0.0000 0.5000 x1

Which of them is the least stable? Correct choice: (2).

(1)
DFT (PBE) results for a geometry-optimized LaAuCl4 structure.

Calculated values
Fermi-level density of states	0.0000	states/eV per atom
total magnetic moment	0.00	Bohr magnetons per cell

Unit cell a=7.9649 b=18.7987 c=6.9360 alpha=90.00 beta=120.29 gamma=90.00
Space group C2/c (No. 15)
Symmetry-distinct sites (fractional):
La 0.0000 0.1888 0.2500 x4
Au 0.0000 0.4194 0.7500 x4
Cl 0.1850 0.0730 0.1754 x8
Cl 0.2330 0.2074 0.7144 x8

(2)
DFT (PBE) results for a geometry-optimized LaAuCl4 structure.

Calculated values
Fermi-level density of states	0.9109	states/eV per atom
total magnetic moment	7.22	Bohr magnetons per cell

Unit cell a=8.2422 b=8.2422 c=8.2422 alpha=90.00 beta=90.00 gamma=90.00
Space group F-43m (No. 216)
Symmetry-distinct sites (fractional):
La 0.0000 0.0000 0.0000 x4
Au 0.2500 0.2500 0.7500 x4
Cl 0.1249 0.1249 0.3751 x16

Which of them is the least stable? Correct choice: (2).

(1)
DFT (PBE) results for a geometry-optimized LaAuCl3 structure.

Calculated values
Fermi-level density of states	0.5247	states/eV per atom
total magnetic moment	0.98	Bohr magnetons per cell

Unit cell a=5.5764 b=5.5764 c=5.5764 alpha=90.00 beta=90.00 gamma=90.00
Space group Pm-3m (No. 221)
Symmetry-distinct sites (fractional):
La 0.0000 0.0000 0.0000 x1
Au 0.5000 0.5000 0.5000 x1
Cl 0.0000 0.0000 0.5000 x3

(2)
DFT (PBE) results for a geometry-optimized LaAuCl3 structure.

Calculated values
Fermi-level density of states	3.3777	states/eV per atom
total magnetic moment	0.79	Bohr magnetons per cell

Unit cell a=5.1554 b=5.1554 c=5.1554 alpha=90.00 beta=90.00 gamma=90.00
Space group Pm-3m (No. 221)
Symmetry-distinct sites (fractional):
La 0.0000 0.0000 0.0000 x1
Au 0.5000 0.5000 0.5000 x1
Cl 0.0000 0.5000 0.5000 x3

Which of them is the least stable? Correct choice: (2).

(1)
DFT (PBE) results for a geometry-optimized La2Au2Cl structure.

Calculated values
Fermi-level density of states	0.8446	states/eV per atom
total magnetic moment	0.00	Bohr magnetons per cell

Unit cell a=8.1911 b=8.1911 c=4.1350 alpha=90.00 beta=90.00 gamma=90.00
Space group P4/mbm (No. 127)
Symmetry-distinct sites (fractional):
La 0.1717 0.3283 0.0000 x4
Au 0.1260 0.6260 0.5000 x4
Cl 0.0000 0.0000 0.0000 x2

(2)
DFT (PBE) results for a geometry-optimized La2Au2Cl structure.

Calculated values
Fermi-level density of states	1.2879	states/eV per atom
total magnetic moment	0.00	Bohr magnetons per cell

Unit cell a=5.5720 b=5.5720 c=9.9355 alpha=90.00 beta=90.00 gamma=90.00
Space group I4/mmm (No. 139)
Symmetry-distinct sites (fractional):
La 0.0000 0.5000 0.2500 x4
Au 0.0000 0.0000 0.1333 x4
Cl 0.0000 0.0000 0.5000 x2

Which of them is the least stable? Correct choice: (2).

(1)
DFT (PBE) results for a geometry-optimized LaP2AuCl structure.

Calculated values
Fermi-level density of states	0.7174	states/eV per atom
total magnetic moment	0.00	Bohr magnetons per cell

Unit cell a=4.8287 b=4.8287 c=5.0786 alpha=90.00 beta=90.00 gamma=90.00
Space group P4/mmm (No. 123)
Symmetry-distinct sites (fractional):
La 0.0000 0.0000 0.0000 x1
P 0.0000 0.5000 0.5000 x2
Au 0.5000 0.5000 0.5000 x1
Cl 0.5000 0.5000 0.0000 x1

(2)
DFT (PBE) results for a geometry-optimized LaP2AuCl structure.

Calculated values
Fermi-level density of states	0.7988	states/eV per atom
total magnetic moment	1.58	Bohr magnetons per cell

Unit cell a=5.7233 b=5.7233 c=5.3810 alpha=90.00 beta=90.00 gamma=90.00
Space group P4/mmm (No. 123)
Symmetry-distinct sites (fractional):
La 0.0000 0.0000 0.0000 x1
P 0.0000 0.5000 0.0000 x2
Au 0.5000 0.5000 0.5000 x1
Cl 0.0000 0.0000 0.5000 x1

Which of them is the least stable? Correct choice: (2).

(1)
DFT (PBE) results for a geometry-optimized LiAuCl2 structure.

Calculated values
Fermi-level density of states	0.1286	states/eV per atom
total magnetic moment	0.00	Bohr magnetons per cell

Unit cell a=7.3250 b=7.2245 c=4.2778 alpha=90.00 beta=118.25 gamma=90.00
Space group C2/m (No. 12)
Symmetry-distinct sites (fractional):
Li 0.0000 0.0000 0.0000 x2
Au 0.0000 0.5000 0.0000 x2
Cl 0.2500 0.2500 0.0000 x4

(2)
DFT (PBE) results for a geometry-optimized LiAuCl2 structure.

Calculated values
total magnetic moment	0.00	Bohr magnetons per cell

Unit cell a=3.5659 b=3.5659 c=6.6245 alpha=90.00 beta=90.00 gamma=90.00
Space group P4mm (No. 99)
Symmetry-distinct sites (fractional):
Li 0.0000 0.0000 0.0000 x1
Au 0.5000 0.5000 0.5465 x1
Cl 0.0000 0.0000 0.3598 x1
Cl 0.5000 0.5000 0.9209 x1

(3)
DFT (PBE) results for a geometry-optimized LiAuCl2 structure.

Calculated values
Fermi-level density of states	0.0000	states/eV per atom
total magnetic moment	0.00	Bohr magnetons per cell

Unit cell a=5.7863 b=5.7863 c=11.4589 alpha=90.00 beta=90.00 gamma=90.00
Space group I-42d (No. 122)
Symmetry-distinct sites (fractional):
Li 0.0000 0.0000 0.0000 x4
Au 0.0000 0.0000 0.5000 x4
Cl 0.2183 0.2500 0.1250 x8

(4)
DFT (PBE) results for a geometry-optimized LiAuCl2 structure.

Calculated values
total magnetic moment	0.00	Bohr magnetons per cell

Unit cell a=4.0493 b=3.5763 c=6.6139 alpha=90.00 beta=93.82 gamma=90.00
Space group P2/m (No. 10)
Symmetry-distinct sites (fractional):
Li 0.0000 0.0000 0.0000 x1
Au 0.0000 0.0000 0.5000 x1
Cl 0.2068 0.5000 0.7752 x2

Which of them is the least stable? Correct choice: (4).

(1)
DFT (PBE) results for a geometry-optimized LiAuCl2 structure.

Calculated values
total magnetic moment	0.00	Bohr magnetons per cell

Unit cell a=3.3047 b=3.3047 c=6.9116 alpha=90.00 beta=90.00 gamma=90.00
Space group P4/mmm (No. 123)
Symmetry-distinct sites (fractional):
Li 0.0000 0.0000 0.0000 x1
Au 0.0000 0.0000 0.5000 x1
Cl 0.5000 0.5000 0.2302 x2

(2)
DFT (PBE) results for a geometry-optimized LiAuCl2 structure.

Calculated values
Fermi-level density of states	0.0627	states/eV per atom
total magnetic moment	0.00	Bohr magnetons per cell

Unit cell a=3.6920 b=3.6689 c=13.5674 alpha=90.00 beta=90.00 gamma=90.00
Space group Amm2 (No. 38)
Symmetry-distinct sites (fractional):
Li 0.0000 0.0000 0.0000 x2
Au 0.5000 0.0000 0.7106 x2
Cl 0.0000 0.0000 0.2113 x2
Cl 0.5000 0.0000 0.4842 x2

Which of them is the least stable? Correct choice: (1).

(1)
DFT (PBE) results for a geometry-optimized LiAuCl2 structure.

Calculated values
Fermi-level density of states	0.1730	states/eV per atom
total magnetic moment	0.00	Bohr magnetons per cell

Unit cell a=3.6437 b=3.6437 c=15.1289 alpha=90.00 beta=90.00 gamma=90.00
Space group I-4m2 (No. 119)
Symmetry-distinct sites (fractional):
Li 0.0000 0.0000 0.0000 x2
Au 0.0000 0.5000 0.7500 x2
Cl 0.0000 0.0000 0.5000 x2
Cl 0.0000 0.5000 0.2500 x2

(2)
DFT (PBE) results for a geometry-optimized LiAuCl2 structure.

Calculated values
total magnetic moment	0.00	Bohr magnetons per cell

Unit cell a=3.7532 b=7.0642 c=7.2020 alpha=90.00 beta=90.00 gamma=90.00
Space group Immm (No. 71)
Symmetry-distinct sites (fractional):
Li 0.0000 0.0000 0.0000 x2
Au 0.0000 0.5000 0.0000 x2
Cl 0.0000 0.2604 0.5000 x4

Which of them is the least stable? Correct choice: (2).

(1)
DFT (PBE) results for a geometry-optimized LiAuCl2 structure.

Calculated values
total magnetic moment	0.00	Bohr magnetons per cell

Unit cell a=3.7198 b=7.0124 c=7.0936 alpha=90.00 beta=90.00 gamma=90.00
Space group Cmmm (No. 65)
Symmetry-distinct sites (fractional):
Li 0.0000 0.0000 0.0000 x2
Au 0.0000 0.0000 0.5000 x2
Cl 0.0000 0.5000 0.2349 x4

(2)
DFT (PBE) results for a geometry-optimized LiAuCl2 structure.

Calculated values
total magnetic moment	0.00	Bohr magnetons per cell

Unit cell a=3.8322 b=3.8322 c=18.8910 alpha=90.00 beta=90.00 gamma=120.00
Space group R-3m (No. 166, hexagonal axes)
Symmetry-distinct sites (fractional):
Li 0.0000 0.0000 0.0000 x3
Au 0.0000 0.0000 0.5000 x3
Cl 0.0000 0.0000 0.2583 x6

(3)
DFT (PBE) results for a geometry-optimized LiAuCl2 structure.

Calculated values
Fermi-level density of states	0.0000	states/eV per atom
total magnetic moment	0.00	Bohr magnetons per cell

Unit cell a=3.7997 b=3.7997 c=21.8596 alpha=90.00 beta=90.00 gamma=120.00
Space group R-3m (No. 166, hexagonal axes)
Symmetry-distinct sites (fractional):
Li 0.0000 0.0000 0.0000 x3
Au 0.0000 0.0000 0.5000 x3
Cl 0.0000 0.0000 0.3943 x6

Which of them is the least stable? Correct choice: (1).

(1)
DFT (PBE) results for a geometry-optimized LiAuCl structure.

Calculated values
Fermi-level density of states	0.3336	states/eV per atom
total magnetic moment	0.00	Bohr magnetons per cell

Unit cell a=4.6781 b=4.6781 c=3.1483 alpha=90.00 beta=90.00 gamma=120.00
Space group P3m1 (No. 156)
Symmetry-distinct sites (fractional):
Li 0.0000 0.0000 0.0000 x1
Au 0.6667 0.3333 0.5031 x1
Cl 0.3333 0.6667 0.5065 x1

(2)
DFT (PBE) results for a geometry-optimized LiAuCl structure.

Calculated values
Fermi-level density of states	0.2222	states/eV per atom
total magnetic moment	0.00	Bohr magnetons per cell

Unit cell a=3.8718 b=3.8718 c=10.2283 alpha=90.00 beta=90.00 gamma=90.00
Space group P4/nmm (No. 129, origin choice 2)
Symmetry-distinct sites (fractional):
Li 0.2500 0.7500 0.0000 x2
Au 0.2500 0.2500 0.4941 x2
Cl 0.2500 0.2500 0.1239 x2

Which of them is the least stable? Correct choice: (1).